Entry 1:
Below is a relaxed La2Sm3Th3 crystal, with properties calculated at the PBE-GGA level.

Geometry as CIF:
```
data_La2Sm3Th3
_chemical_formula_sum 'La2 Sm3 Th3'
_cell_length_a 9.2580
_cell_length_b 9.2580
_cell_length_c 3.6643
_cell_angle_alpha 90.00
_cell_angle_beta 90.00
_cell_angle_gamma 120.00
_space_group_name_H-M_alt 'P -6 2 m'
_space_group_IT_number 189
_space_group_name_Hall 'P -6 -2'
loop_
_atom_site_label
_atom_site_type_symbol
_atom_site_fract_x
_atom_site_fract_y
_atom_site_fract_z
La1 La 0.3333 0.6667 0.0000
Sm1 Sm 0.0000 0.3899 0.5000
Th1 Th 0.0000 0.7786 0.0000
```

D(E_F): 1.511 states/eV per atom

Entry 2:
Below is a relaxed LaSm4Th2 crystal, with properties calculated at the PBE-GGA level.

Geometry as CIF:
```
data_LaSm4Th2
_chemical_formula_sum 'La1 Sm4 Th2'
_cell_length_a 5.666
_cell_length_b 5.637
_cell_length_c 7.942
_cell_angle_alpha 90.00
_cell_angle_beta 95.61
_cell_angle_gamma 90.00
_space_group_name_H-M_alt 'P 1 2/m 1'
_space_group_IT_number 10
loop_
_space_group_symop_operation_xyz
'x,y,z'
'-x,-y,-z'
'-x,y,-z'
'x,-y,z'
loop_
_atom_site_label
_atom_site_type_symbol
_atom_site_fract_x
_atom_site_fract_y
_atom_site_fract_z
La1 La 0.000 0.000 0.000
Sm1 Sm 0.075 0.500 0.287
Sm2 Sm 0.497 0.000 0.721
Th1 Th 0.000 0.000 0.500
Th2 Th 0.500 0.500 0.000
```

D(E_F): 1.561 states/eV per atom
Energy above the lowest structure with this stoichiometry: 0 meV/atom

Entry 3:
Below is a relaxed La3Sm3Th2 crystal, with properties calculated at the PBE-GGA level.

Geometry as CIF:
```
data_La3Sm3Th2
_chemical_formula_sum 'La3 Sm3 Th2'
_cell_length_a 6.317
_cell_length_b 6.334
_cell_length_c 8.155
_cell_angle_alpha 104.68
_cell_angle_beta 104.75
_cell_angle_gamma 110.17
_space_group_name_H-M_alt 'P -1'
_space_group_IT_number 2
loop_
_space_group_symop_operation_xyz
'x,y,z'
'-x,-y,-z'
loop_
_atom_site_label
_atom_site_type_symbol
_atom_site_fract_x
_atom_site_fract_y
_atom_site_fract_z
La1 La 0.000 0.000 0.000
La2 La 0.133 0.633 0.267
Sm1 Sm 0.371 0.871 0.741
Sm2 Sm 0.500 0.500 0.000
Th1 Th 0.251 0.251 0.503
```

D(E_F): 1.610 states/eV per atom
Energy above the lowest structure with this stoichiometry: 6 meV/atom

Entry 4:
Below is a relaxed La5Sm6Th2 crystal, with properties calculated at the PBE-GGA level.

Geometry as CIF:
```
data_La5Sm6Th2
_chemical_formula_sum 'La10 Sm12 Th4'
_cell_length_a 11.755
_cell_length_b 21.420
_cell_length_c 3.654
_cell_angle_alpha 90.00
_cell_angle_beta 90.00
_cell_angle_gamma 90.00
_space_group_name_H-M_alt 'P b a m'
_space_group_IT_number 55
loop_
_space_group_symop_operation_xyz
'x,y,z'
'-x,-y,-z'
'-x,-y,z'
'x,y,-z'
'x+1/2,-y+1/2,-z'
'-x+1/2,y+1/2,z'
'-x+1/2,y+1/2,-z'
'x+1/2,-y+1/2,z'
loop_
_atom_site_label
_atom_site_type_symbol
_atom_site_fract_x
_atom_site_fract_y
_atom_site_fract_z
La1 La 0.000 0.000 0.000
La2 La 0.059 0.295 0.000
La3 La 0.191 0.583 0.000
Sm1 Sm 0.063 0.149 0.500
Sm2 Sm 0.083 0.439 0.500
Sm3 Sm 0.186 0.875 0.000
Th1 Th 0.193 0.736 0.500
```

D(E_F): 1.414 states/eV per atom

Entry 5:
Below is a relaxed La3Sm12Th crystal, with properties calculated at the PBE-GGA level.

Geometry as CIF:
```
data_La3Sm12Th
_chemical_formula_sum 'La3 Sm12 Th1'
_cell_length_a 5.159
_cell_length_b 5.159
_cell_length_c 20.633
_cell_angle_alpha 90.00
_cell_angle_beta 90.00
_cell_angle_gamma 90.00
_space_group_name_H-M_alt 'P 4/m m m'
_space_group_IT_number 123
_space_group_name_Hall '-P 4 2'
loop_
_atom_site_label
_atom_site_type_symbol
_atom_site_fract_x
_atom_site_fract_y
_atom_site_fract_z
La1 La 0.000 0.000 0.000
La2 La 0.000 0.000 0.251
Sm1 Sm 0.000 0.500 0.126
Sm2 Sm 0.000 0.500 0.379
Sm3 Sm 0.500 0.500 0.000
Sm4 Sm 0.500 0.500 0.252
Sm5 Sm 0.500 0.500 0.500
Th1 Th 0.000 0.000 0.500
```

D(E_F): 1.509 states/eV per atom

Entry 6:
Below is a relaxed La2Sm8Th crystal, with properties calculated at the PBE-GGA level.

Geometry as CIF:
```
data_La2Sm8Th
_chemical_formula_sum 'La4 Sm16 Th2'
_cell_length_a 19.555
_cell_length_b 6.928
_cell_length_c 5.760
_cell_angle_alpha 90.00
_cell_angle_beta 94.59
_cell_angle_gamma 90.00
_space_group_name_H-M_alt 'C 1 2/m 1'
_space_group_IT_number 12
loop_
_space_group_symop_operation_xyz
'x,y,z'
'-x,-y,-z'
'-x,y,-z'
'x,-y,z'
'x+1/2,y+1/2,z'
'-x+1/2,-y+1/2,-z'
'-x+1/2,y+1/2,-z'
'x+1/2,-y+1/2,z'
loop_
_atom_site_label
_atom_site_type_symbol
_atom_site_fract_x
_atom_site_fract_y
_atom_site_fract_z
La1 La 0.219 0.000 0.256
Sm1 Sm 0.048 0.000 0.227
Sm2 Sm 0.124 0.240 0.723
Sm3 Sm 0.180 0.500 0.220
Th1 Th 0.000 0.500 0.000
```

D(E_F): 1.651 states/eV per atom
Energy above the lowest structure with this stoichiometry: 171 meV/atom

Entry 7:
Below is a relaxed La3Sm2Th4 crystal, with properties calculated at the PBE-GGA level.

Geometry as CIF:
```
data_La3Sm2Th4
_chemical_formula_sum 'La6 Sm4 Th8'
_cell_length_a 18.946
_cell_length_b 3.618
_cell_length_c 9.919
_cell_angle_alpha 90.00
_cell_angle_beta 115.46
_cell_angle_gamma 90.00
_space_group_name_H-M_alt 'C 1 2/m 1'
_space_group_IT_number 12
loop_
_space_group_symop_operation_xyz
'x,y,z'
'-x,-y,-z'
'-x,y,-z'
'x,-y,z'
'x+1/2,y+1/2,z'
'-x+1/2,-y+1/2,-z'
'-x+1/2,y+1/2,-z'
'x+1/2,-y+1/2,z'
loop_
_atom_site_label
_atom_site_type_symbol
_atom_site_fract_x
_atom_site_fract_y
_atom_site_fract_z
La1 La 0.000 0.000 0.000
La2 La 0.147 0.000 0.665
Sm1 Sm 0.165 0.500 0.006
Th1 Th 0.022 0.500 0.336
Th2 Th 0.182 0.000 0.340
```

D(E_F): 1.724 states/eV per atom

Entry 8:
Below is a relaxed La2SmTh crystal, with properties calculated at the PBE-GGA level.

Geometry as CIF:
```
data_La2SmTh
_chemical_formula_sum 'La2 Sm1 Th1'
_cell_length_a 3.629
_cell_length_b 3.629
_cell_length_c 10.518
_cell_angle_alpha 90.00
_cell_angle_beta 90.00
_cell_angle_gamma 90.00
_space_group_name_H-M_alt 'P 4/m m m'
_space_group_IT_number 123
_space_group_name_Hall '-P 4 2'
loop_
_atom_site_label
_atom_site_type_symbol
_atom_site_fract_x
_atom_site_fract_y
_atom_site_fract_z
La1 La 0.000 0.000 0.237
Sm1 Sm 0.500 0.500 0.500
Th1 Th 0.500 0.500 0.000
```

D(E_F): 1.706 states/eV per atom
Energy above the lowest structure with this stoichiometry: 10 meV/atom

Entry 9:
Below is a relaxed LaSmTh crystal, with properties calculated at the PBE-GGA level.

Geometry as CIF:
```
data_LaSmTh
_chemical_formula_sum 'La4 Sm4 Th4'
_cell_length_a 6.291
_cell_length_b 3.631
_cell_length_c 17.958
_cell_angle_alpha 90.00
_cell_angle_beta 90.08
_cell_angle_gamma 90.00
_space_group_name_H-M_alt 'C 1 m 1'
_space_group_IT_number 8
loop_
_space_group_symop_operation_xyz
'x,y,z'
'x,-y,z'
'x+1/2,y+1/2,z'
'x+1/2,-y+1/2,z'
loop_
_atom_site_label
_atom_site_type_symbol
_atom_site_fract_x
_atom_site_fract_y
_atom_site_fract_z
La1 La 0.000 0.000 0.000
La2 La 0.168 0.500 0.830
Sm1 Sm 0.335 0.000 0.174
Sm2 Sm 0.335 0.000 0.656
Th1 Th 0.002 0.000 0.494
Th2 Th 0.168 0.500 0.336
```

D(E_F): 1.716 states/eV per atom
Energy above the lowest structure with this stoichiometry: 1 meV/atom

Entry 10:
Below is a relaxed LaSm2Th6 crystal, with properties calculated at the PBE-GGA level.

Geometry as CIF:
```
data_LaSm2Th6
_chemical_formula_sum 'La1 Sm2 Th6'
_cell_length_a 3.5561
_cell_length_b 3.5561
_cell_length_c 27.3274
_cell_angle_alpha 90.00
_cell_angle_beta 90.00
_cell_angle_gamma 120.00
_space_group_name_H-M_alt 'P -6 m 2'
_space_group_IT_number 187
_space_group_name_Hall 'P -6 2'
loop_
_atom_site_label
_atom_site_type_symbol
_atom_site_fract_x
_atom_site_fract_y
_atom_site_fract_z
La1 La 0.0000 0.0000 0.0000
Sm1 Sm 0.6667 0.3333 0.3304
Th1 Th 0.0000 0.0000 0.2201
Th2 Th 0.0000 0.0000 0.4395
Th3 Th 0.6667 0.3333 0.1132
```

D(E_F): 1.521 states/eV per atom

Number 1: volume 34.0 Å³ per atom, calculated density 8.70 g cm⁻³, ΔH_f (0 K) 0.1975 eV per atom. Number 2: volume 36.1 Å³ per atom, calculated density 7.92 g cm⁻³, ΔH_f (0 K) 0.3541 eV per atom. Number 3: volume 34.3 Å³ per atom, calculated density 8.06 g cm⁻³, ΔH_f (0 K) 0.0442 eV per atom. Number 4: volume 35.4 Å³ per atom, calculated density 7.44 g cm⁻³, ΔH_f (0 K) 0.1016 eV per atom. Number 5: volume 34.3 Å³ per atom, calculated density 7.42 g cm⁻³, ΔH_f (0 K) 0.0241 eV per atom. Number 6: volume 35.4 Å³ per atom, calculated density 7.31 g cm⁻³, ΔH_f (0 K) 0.2017 eV per atom. Number 7: volume 34.1 Å³ per atom, calculated density 8.90 g cm⁻³, ΔH_f (0 K) 0.0748 eV per atom. Number 8: volume 34.6 Å³ per atom, calculated density 7.92 g cm⁻³, ΔH_f (0 K) 0.0363 eV per atom. Number 9: volume 34.2 Å³ per atom, calculated density 8.44 g cm⁻³, ΔH_f (0 K) 0.0240 eV per atom. Number 10: volume 33.3 Å³ per atom, calculated density 10.16 g cm⁻³, ΔH_f (0 K) 0.0965 eV per atom.